LiCrRu2 | PBE | optimized geometry

Geometry as CIF:
```
data_LiCrRu2
_chemical_formula_sum 'Li3 Cr3 Ru6'
_space_group_name_H-M_alt 'R 3 m'
_space_group_IT_number 160
_space_group_name_Hall 'R 3 -2"'
_cell_length_a 2.6715
_cell_length_b 2.6715
_cell_length_c 26.6886
_cell_angle_alpha 90.00
_cell_angle_beta 90.00
_cell_angle_gamma 120.00
loop_
_atom_site_label
_atom_site_type_symbol
_atom_site_fract_x
_atom_site_fract_y
_atom_site_fract_z
_atom_site_occupancy
Li1 Li 0.0000 0.0000 0.0000 1
Cr1 Cr 0.0000 0.0000 0.7556 1
Ru1 Ru 0.0000 0.0000 0.2473 1
Ru2 Ru 0.0000 0.0000 0.4978 1
```

Summary:
The calculation puts the energy above the most stable polymorph in this dataset at 84 kJ/mol of formula units. Its density of states at the Fermi level is 4.01 states/eV/f.u. The calculation puts the energy of formation at 0.29 eV/atom. Its crystal system is trigonal. The electronic total energy is -86.74 eV/cell.